Material: Cs3Ce2ScTe6
Method: DFT, PBE-GGA
State: relaxed

Geometry as POSCAR:
```
Cs3Ce2ScTe6
1.0
7.987 -0.002 0.000
-3.993 6.918 0.000
-1.332 -2.307 8.889
Cs Ce Sc Te
3 2 1 6
Cartesian
-2.608 4.579 4.444 Cs
5.270 0.030 4.444 Cs
1.331 2.304 4.444 Cs
0.006 4.607 0.000 Ce
3.988 2.308 0.000 Ce
0.000 0.000 0.000 Sc
3.919 2.433 7.216 Te
2.739 4.742 1.691 Te
-1.257 2.176 1.672 Te
0.149 4.610 7.216 Te
-0.077 -0.133 7.198 Te
2.513 -0.001 1.672 Te
```

Calculated values
The value obtained for the total energy is -55.16 eV for the cell shown. The value obtained for the total magnetization is 2.033 μB/f.u. Its symmetry is C2/m. For the formation energy (no corrections), the calculation gives -15.5 eV per formula unit. The calculation puts the calculated volume at 40.9 A^3/atom.